Version 1
Computed, not measured: a geometry-optimized CeHo5Tl6 structure at the GGA-PBE level of DFT.

abc: 7.487 7.487 6.509
angles: 98.28 98.28 97.09
Atoms (fractional coordinates):
Ce  0.000  0.000  0.000
Ho  0.164  0.836  0.500
Ho  0.334  0.666  0.000
Ho  0.500  0.500  0.500
Ho  0.666  0.334  0.000
Ho  0.836  0.164  0.500
Tl  0.082  0.424  0.255
Tl  0.252  0.252  0.742
Tl  0.424  0.082  0.255
Tl  0.576  0.918  0.745
Tl  0.748  0.748  0.258
Tl  0.918  0.576  0.745

***

Version 2
Computed, not measured: a geometry-optimized CeHo5Tl6 structure at the GGA-PBE level of DFT.

abc: 8.557 8.557 7.531
angles: 90.00 90.00 143.21
Atoms (fractional coordinates):
Ce  0.000  0.000  0.000
Ho  0.000  0.000  0.500
Ho  0.332  0.668  0.000
Ho  0.337  0.663  0.500
Ho  0.663  0.337  0.500
Ho  0.668  0.332  0.000
Tl  0.170  0.830  0.255
Tl  0.170  0.830  0.745
Tl  0.500  0.500  0.254
Tl  0.500  0.500  0.746
Tl  0.830  0.170  0.255
Tl  0.830  0.170  0.745

***

Of them, the most stable is version 2 and the least stable is version 1.

***

Version 1
Computed, not measured: a geometry-optimized CeHo2Tl structure at the GGA-PBE level of DFT.

abc: 4.726 4.822 11.220
angles: 90.00 102.26 90.00
Atoms (fractional coordinates):
Ce  0.194  0.250  0.386
Ce  0.806  0.750  0.614
Ho  0.057  0.750  0.113
Ho  0.436  0.750  0.873
Ho  0.564  0.250  0.127
Ho  0.943  0.250  0.887
Tl  0.337  0.250  0.676
Tl  0.663  0.750  0.324

***

Version 2
Computed, not measured: a geometry-optimized CeHo2Tl structure at the GGA-PBE level of DFT.

abc: 3.517 3.517 32.492
angles: 90.00 90.00 120.00
Atoms (fractional coordinates):
Ce  0.000  0.000  0.000
Ce  0.333  0.667  0.667
Ce  0.667  0.333  0.333
Ho  0.000  0.000  0.248
Ho  0.000  0.000  0.752
Ho  0.333  0.667  0.419
Ho  0.333  0.667  0.914
Ho  0.667  0.333  0.086
Ho  0.667  0.333  0.581
Tl  0.000  0.000  0.500
Tl  0.333  0.667  0.167
Tl  0.667  0.333  0.833

***

Of them, the most stable is version 2 and the least stable is version 1.

***

Version 1
Computed, not measured: a geometry-optimized CeHo2Tl2 structure at the GGA-PBE level of DFT.

abc: 5.139 5.139 12.666
angles: 90.00 90.00 120.00
Atoms (fractional coordinates):
Ce  0.000  0.000  0.250
Ce  0.000  0.000  0.750
Ho  0.000  0.000  0.000
Ho  0.000  0.000  0.500
Ho  0.333  0.667  0.250
Ho  0.667  0.333  0.750
Tl  0.333  0.667  0.623
Tl  0.333  0.667  0.877
Tl  0.667  0.333  0.123
Tl  0.667  0.333  0.377

***

Version 2
Computed, not measured: a geometry-optimized CeHo2Tl2 structure at the GGA-PBE level of DFT.

abc: 6.527 6.527 9.310
angles: 100.83 100.83 46.83
Atoms (fractional coordinates):
Ce  0.049  0.049  0.376
Ce  0.951  0.951  0.624
Ho  0.258  0.258  0.753
Ho  0.429  0.429  0.134
Ho  0.571  0.571  0.866
Ho  0.742  0.742  0.247
Tl  0.133  0.133  0.057
Tl  0.355  0.355  0.438
Tl  0.645  0.645  0.562
Tl  0.867  0.867  0.943

***

Of them, the most stable is version 2 and the least stable is version 1.

***

Version 1
Computed, not measured: a geometry-optimized CeHo6Tm8 structure at the GGA-PBE level of DFT.

abc: 8.500 8.500 8.500
angles: 63.14 63.14 63.14
Atoms (fractional coordinates):
Ce  0.000  0.000  0.000
Ho  0.109  0.226  0.540
Ho  0.226  0.540  0.109
Ho  0.460  0.891  0.774
Ho  0.540  0.109  0.226
Ho  0.774  0.460  0.891
Ho  0.891  0.774  0.460
Tm  0.111  0.749  0.718
Tm  0.251  0.282  0.889
Tm  0.282  0.889  0.251
Tm  0.423  0.423  0.423
Tm  0.577  0.577  0.577
Tm  0.718  0.111  0.749
Tm  0.749  0.718  0.111
Tm  0.889  0.251  0.282

***

Version 2
Computed, not measured: a geometry-optimized CeHo6Tm8 structure at the GGA-PBE level of DFT.

abc: 9.315 9.315 6.430
angles: 90.00 90.00 120.00
Atoms (fractional coordinates):
Ce  0.000  0.000  0.000
Ho  0.096  0.415  0.911
Ho  0.318  0.904  0.911
Ho  0.415  0.318  0.089
Ho  0.585  0.682  0.911
Ho  0.682  0.096  0.089
Ho  0.904  0.585  0.089
Tm  0.025  0.686  0.593
Tm  0.314  0.339  0.593
Tm  0.333  0.667  0.332
Tm  0.339  0.025  0.407
Tm  0.661  0.975  0.593
Tm  0.667  0.333  0.668
Tm  0.686  0.661  0.407
Tm  0.975  0.314  0.407

***

Of them, the most stable is version 1 and the least stable is version 2.